# 1
{
  "formula": "Cu2HgCl2",
  "functional": "SCAN",
  "state": "PBEsol geometry",
  "raw_formation_energy_ev_per_atom": -0.30,
  "density_g_cm3": 6.06,
  "sg": "No. 139",
  "vol_a3_per_atom": 21.84,
  "magnetic_moment_mub_per_fu": 0.0,
  "cell": [[-1.440, 2.083, -2.609], [-2.908, 0.612, 2.094], [5.900, 5.282, 3.494]],
  "species": ["Cu", "Cu", "Cl", "Cl", "Hg"],
  "frac_coords": [[0.750, 0.250, 0.500], [0.250, 0.750, 0.500], [0.659, 0.659, 0.318], [0.341, 0.341, 0.682], [0.000, 0.000, 0.000]]
}

---

# 2
{
  "formula": "Li2AlAg",
  "functional": "SCAN",
  "state": "PBEsol geometry",
  "ef_mev_per_atom": -192,
  "density_g_cm3": 4.01,
  "sg": "No. 139",
  "vol_a3_per_atom": 15.41,
  "magnetic_moment_mub_per_fu": 0.0,
  "cell": [[3.845, 0.000, 0.000], [0.000, 3.845, 0.000], [-1.923, -1.923, 4.168]],
  "species": ["Li", "Al", "Ag", "Li"],
  "frac_coords": [[0.250, 0.750, 0.500], [0.000, 0.000, 0.000], [0.500, 0.500, 0.000], [0.750, 0.250, 0.500]]
}

---

# 3
{
  "formula": "PrScSi",
  "functional": "SCAN",
  "state": "PBEsol geometry",
  "raw_formation_energy_ev_per_atom": -0.67,
  "density_g_cm3": 4.97,
  "sg": "No. 139",
  "vol_a3_per_atom": 23.80,
  "magnetic_moment_mub_per_fu": 0.9,
  "cell": [[4.260, 0.000, 0.000], [0.000, 4.260, 0.000], [-2.130, -2.130, 7.869]],
  "species": ["Pr", "Pr", "Si", "Sc", "Sc", "Si"],
  "frac_coords": [[0.677, 0.677, 0.353], [0.323, 0.323, 0.647], [0.879, 0.879, 0.758], [0.500, 0.000, 0.000], [0.000, 0.500, 0.000], [0.121, 0.121, 0.242]]
}

---

Question: What is the formula in the third record?
Answer: PrScSi